[1]
{"formula": "Mg2ZnP2Ir5", "functional": "PBE", "state": "relaxed", "cell": [[9.3793, 0.0000, 0.0000], [0.0000, 9.3793, 0.0000], [0.0000, 0.0000, 3.3766]], "species": ["Mg", "Mg", "Mg", "Mg", "Zn", "Zn", "P", "P", "P", "P", "Ir", "Ir", "Ir", "Ir", "Ir", "Ir", "Ir", "Ir", "Ir", "Ir"], "frac_coords": [[0.1718, 0.3282, 0.0000], [0.3282, 0.8282, 0.0000], [0.6718, 0.1718, 0.0000], [0.8282, 0.6718, 0.0000], [0.0000, 0.0000, 0.0000], [0.5000, 0.5000, 0.0000], [0.1307, 0.6307, 0.0000], [0.3693, 0.1307, 0.0000], [0.6307, 0.8693, 0.0000], [0.8693, 0.3693, 0.0000], [0.0000, 0.5000, 0.5000], [0.0728, 0.7923, 0.5000], [0.2077, 0.0728, 0.5000], [0.2923, 0.5728, 0.5000], [0.4272, 0.2923, 0.5000], [0.5000, 0.0000, 0.5000], [0.5728, 0.7077, 0.5000], [0.7077, 0.4272, 0.5000], [0.7923, 0.9272, 0.5000], [0.9272, 0.2077, 0.5000]], "dos_at_fermi_per_ev_atom": 0.2875, "density_g_cm3": 12.7, "formation_enthalpy_0k_ev_per_atom": -0.439}

[2]
{"formula": "MgZnP2Ir", "functional": "PBE", "state": "relaxed", "cell": [[4.5569, 0.0000, 0.0000], [0.0000, 4.5569, 0.0000], [0.0000, 0.0000, 4.6944]], "species": ["Mg", "Zn", "P", "P", "Ir"], "frac_coords": [[0.0000, 0.0000, 0.0000], [0.0000, 0.0000, 0.5000], [0.0000, 0.5000, 0.0000], [0.5000, 0.0000, 0.0000], [0.5000, 0.5000, 0.5000]], "dos_at_fermi_per_ev_atom": 0.6731, "density_g_cm3": 5.9, "formation_enthalpy_0k_ev_per_atom": 1.361}

[3]
{"formula": "MgPaIr2", "functional": "PBE", "state": "relaxed", "cell": [[4.4121, 0.0000, 0.0000], [0.0000, 4.4121, 0.0000], [0.0000, 0.0000, 3.7440]], "species": ["Mg", "Pa", "Ir", "Ir"], "frac_coords": [[0.0000, 0.0000, 0.0000], [0.5000, 0.5000, 0.0000], [0.0000, 0.5000, 0.5000], [0.5000, 0.0000, 0.5000]], "dos_at_fermi_per_ev_atom": 0.7204, "density_g_cm3": 14.6, "formation_enthalpy_0k_ev_per_atom": -0.640}